Entry from Alexandria via LeMat-Bulk: a relaxed structure of Na2DyPaBi4 (PBE).

Cell: 5.1121 7.4418 7.8458 Å, 119.18 90.00 90.00°
Fractional positions:
Na1 0.0000 0.5000 0.5000
Na2 0.5000 0.0000 0.5000
Bi1 0.5000 0.7518 0.7669
Bi2 0.0000 0.2543 0.7647
Bi3 0.5000 0.2482 0.2331
Bi4 0.0000 0.7457 0.2353
Dy1 0.0000 0.0000 0.0000
Pa1 0.5000 0.5000 0.0000

Output
For the formation energy, the calculation gives -0.26 eV/atom. As for the total energy: -4.30 eV per atom. For the total moment, the calculation gives 0.00 μB/cell.


Entry from Alexandria via LeMat-Bulk: a relaxed structure of NaDyBiPd (PBE).

Cell: 5.1493 5.1493 5.1493 Å, 60.00 60.00 60.00°
Fractional positions:
Na1 0.0000 0.0000 0.0000
Bi1 0.2500 0.2500 0.2500
Pd1 0.7500 0.7500 0.7500
Dy1 0.5000 0.5000 0.5000

Output
For the formation energy, the calculation gives -0.49 eV/atom. As for the total energy: -4.23 eV per atom. For the total moment, the calculation gives 0.00 μB/cell.


Entry from Alexandria via LeMat-Bulk: a relaxed structure of Na3Dy3BiS8 (PBE).

Cell: 7.9585 7.9570 8.1622 Å, 119.19 90.00 120.01°
Fractional positions:
Bi1 0.0000 0.0000 0.5000
Na1 0.5000 0.5000 0.0000
Na2 0.0000 0.0000 0.0000
Na3 0.0000 0.5000 0.0000
Dy1 0.5000 0.0000 0.5000
Dy2 0.0000 0.5000 0.5000
Dy3 0.5000 0.5000 0.5000
S1 0.7429 0.9843 0.7255
S2 0.7585 0.0157 0.2745
S3 0.7585 0.5171 0.2745
S4 0.2584 0.5168 0.2755
S5 0.7416 0.4832 0.7245
S6 0.2415 0.4829 0.7255
S7 0.2415 0.9843 0.7255
S8 0.2571 0.0157 0.2745

Output
As for the total energy: -5.13 eV per atom. For the total moment, the calculation gives 0.00 μB/cell. The raw formation energy comes out at -1.48 eV/atom.


Entry from Alexandria via LeMat-Bulk: a relaxed structure of Na4Dy3BiS8 (PBE).

Cell: 8.0248 8.1445 8.0246 Å, 119.54 120.00 90.00°
Fractional positions:
Dy1 0.5000 0.5000 0.0000
Dy2 0.5000 0.5000 0.5000
Dy3 0.0000 0.5000 0.5000
Na1 0.0000 0.0000 0.0000
Na2 0.0000 0.0000 0.5000
Na3 0.5000 0.0000 0.0000
Na4 0.5000 0.0000 0.5000
S1 0.7418 0.7252 0.4837
S2 0.2467 0.7298 0.4935
S3 0.2582 0.2748 0.5163
S4 0.7366 0.7298 0.9833
S5 0.7532 0.2702 0.0167
S6 0.7533 0.2702 0.5065
S7 0.2468 0.7298 0.9833
S8 0.2634 0.2702 0.0167
Bi1 0.0000 0.5000 0.0000

Output
As for the total energy: -5.07 eV per atom. For the total moment, the calculation gives 0.00 μB/cell. The raw formation energy comes out at -1.57 eV/atom.